[1]
The following is a DFT calculation (GGA-PBE) of a relaxed Ho2PaTe crystal.

## Properties
- symmetry = No. 166
- crystal system = trigonal
- raw formation energy (eV per formula unit) = 0.23

The structure in POSCAR format:
```
Ho2PaTe
1.0
-0.846 2.162 -2.500
-3.216 0.126 -1.130
-3.750 8.739 6.499
Pa Ho Te
1 2 1
Direct
0.000 0.000 0.000
0.905 0.905 0.286
0.095 0.095 0.714
0.500 0.500 0.500
```

[2]
The following is a DFT calculation (GGA-PBE) of a relaxed HoPa4Te8 crystal.

## Properties
- symmetry = No. 216
- crystal system = cubic
- raw formation energy (eV per formula unit) = -9.78

The structure in POSCAR format:
```
HoPa4Te8
1.0
8.746 0.000 0.000
4.373 7.574 0.000
4.373 2.525 7.141
Pa Te Ho
4 8 1
Direct
0.355 0.934 0.355
0.934 0.355 0.355
0.355 0.355 0.355
0.355 0.355 0.934
0.113 0.662 0.113
0.613 0.160 0.613
0.113 0.113 0.662
0.160 0.613 0.613
0.113 0.113 0.113
0.613 0.613 0.160
0.662 0.113 0.113
0.613 0.613 0.613
0.750 0.750 0.750
```

[3]
The following is a DFT calculation (GGA-PBE) of a relaxed HoPaTe3 crystal.

## Properties
- symmetry = No. 186
- crystal system = hexagonal
- raw formation energy (eV per formula unit) = -4.98

The structure in POSCAR format:
```
HoPaTe3
1.0
-3.754 1.888 0.877
0.567 -2.012 -3.749
-7.437 -19.006 9.076
Te Ho Pa
6 2 2
Direct
0.333 0.667 0.373
0.667 0.333 0.873
0.000 0.000 0.712
0.667 0.333 0.543
0.333 0.667 0.043
0.000 0.000 0.212
0.667 0.333 0.285
0.333 0.667 0.785
0.000 0.000 0.962
0.000 0.000 0.462
```

[4]
The following is a DFT calculation (GGA-PBE) of a relaxed HoPaTe2 crystal.

## Properties
- symmetry = No. 166
- crystal system = trigonal
- raw formation energy (eV per formula unit) = -2.01
- polymorph energy (0 for the lowest one) (eV/atom) = 0.374

The structure in POSCAR format:
```
HoPaTe2
1.0
3.942 0.000 0.000
1.971 3.414 0.000
1.971 1.138 10.197
Te Pa Ho
2 1 1
Direct
0.902 0.902 0.295
0.098 0.098 0.705
0.500 0.500 0.500
0.000 0.000 0.000
```

[5]
The following is a DFT calculation (GGA-PBE) of a relaxed HoPa2Te5 crystal.

## Properties
- symmetry = No. 123
- crystal system = tetragonal
- raw formation energy (eV per formula unit) = -0.65

The structure in POSCAR format:
```
HoPa2Te5
1.0
5.221 0.000 0.000
0.000 7.460 0.000
0.000 0.000 7.460
Te Pa Ho
5 2 1
Direct
0.000 0.721 0.279
0.000 0.279 0.721
0.000 0.721 0.721
0.000 0.279 0.279
0.500 0.000 0.000
0.500 0.500 0.000
0.500 0.000 0.500
0.000 0.000 0.000
```

[6]
The following is a DFT calculation (GGA-PBE) of a relaxed Ho2Pa2Te7 crystal.

## Properties
- symmetry = No. 115
- crystal system = tetragonal
- raw formation energy (eV per formula unit) = -9.61
- polymorph energy (0 for the lowest one) (eV/atom) = 0.170

The structure in POSCAR format:
```
Ho2Pa2Te7
1.0
-0.779 -4.613 -2.316
3.768 -2.109 2.934
-9.932 -3.473 10.258
Te Pa Ho
7 2 2
Direct
0.500 0.500 0.000
0.000 0.000 0.234
0.500 0.500 0.255
0.000 0.000 0.500
0.000 0.000 0.766
0.500 0.500 0.500
0.500 0.500 0.745
0.000 0.500 0.626
0.500 0.000 0.374
0.500 0.000 0.864
0.000 0.500 0.136
```